No. 1
A plane-wave DFT calculation with PBE-GGA was carried out for a relaxed structure of Pt2Rh2Br.

a = 7.0186 Å, b = 7.0186 Å, c = 7.0186 Å
α = 149.14°, β = 149.14°, γ = 44.21°
With the nearest neighbours (Å) after each atom.
Positions (direct):
Pt  0.2500  0.7500  0.5000  4 Pt 2.64, 4 Rh 2.68
Pt  0.7500  0.2500  0.5000  4 Pt 2.64, 4 Rh 2.68
Rh  0.1018  0.1018  0.0000  1 Rh 2.65, 4 Pt 2.68, 4 Br 2.95
Rh  0.8982  0.8982  0.0000  1 Rh 2.65, 4 Pt 2.68, 4 Br 2.95
Br  0.5000  0.5000  0.0000  8 Rh 2.95

Computed properties:
**Volume**: 91 Å³ per cell
**ΔE to the lowest computed polymorph**: 84.2 meV/atom
**Symmetry**: I4/mmm, No. 139
**Crystal system**: tetragonal

---

No. 2
A plane-wave DFT calculation with PBE-GGA was carried out for a relaxed structure of Ca5Ge2Au2.

a = 8.7771 Å, b = 8.7771 Å, c = 7.8405 Å
α = 90.00°, β = 90.00°, γ = 52.77°
With the nearest neighbours (Å) after each atom.
Positions (direct):
Ca  0.0000  0.0000  0.0000  4 Ge 3.12-3.13, 2 Au 3.26
Ca  0.0388  0.6886  0.6714  3 Au 3.08-3.12, 3 Ge 3.14-3.16
Ca  0.1886  0.5388  0.1714  3 Au 3.08-3.12, 3 Ge 3.14-3.16
Ca  0.3114  0.9612  0.6714  3 Au 3.08-3.12, 3 Ge 3.14-3.16
Ca  0.4612  0.8114  0.1714  3 Au 3.08-3.12, 3 Ge 3.14-3.16
Ca  0.5000  0.5000  0.5000  4 Ge 3.12-3.13, 2 Au 3.26
Ca  0.5388  0.1886  0.8286  3 Au 3.08-3.12, 3 Ge 3.14-3.16
Ca  0.6886  0.0388  0.3286  3 Au 3.08-3.12, 3 Ge 3.14-3.16
Ca  0.8114  0.4612  0.8286  3 Au 3.08-3.12, 3 Ge 3.14-3.16
Ca  0.9612  0.3114  0.3286  3 Au 3.08-3.12, 3 Ge 3.14-3.16
Ge  0.1186  0.8814  0.3810  1 Ge 2.63
Ge  0.3814  0.6186  0.8810  1 Ge 2.63
Ge  0.6186  0.3814  0.1190  1 Ge 2.63
Ge  0.8814  0.1186  0.6190  1 Ge 2.63
Au  0.2073  0.2073  0.0000  7 Ca 3.08-3.26
Au  0.2927  0.2927  0.5000  7 Ca 3.08-3.26
Au  0.7073  0.7073  0.5000  7 Ca 3.08-3.26
Au  0.7927  0.7927  0.0000  7 Ca 3.08-3.26

Computed properties:
**Volume**: 481 Å³ per cell
**E_form**: -675 meV/atom
**Symmetry**: Cmce, No. 64
**Crystal system**: orthorhombic

---

No. 3
A plane-wave DFT calculation with PBE-GGA was carried out for a relaxed structure of PmEr2Th.

a = 3.5457 Å, b = 6.7825 Å, c = 11.0840 Å
α = 90.52°, β = 90.01°, γ = 105.04°
With the nearest neighbours (Å) after each atom.
Positions (direct):
Pm  0.1301  0.2592  0.4847  7 Er 3.40-3.76, 5 Pm 3.42-3.63
Pm  0.8699  0.7408  0.5153  7 Er 3.40-3.76, 5 Pm 3.42-3.63
Er  0.2546  0.5098  0.7551  3 Th 3.35-3.45, 3 Pm 3.40-3.55, 5 Er 3.49-3.55
Er  0.4778  0.9568  0.2462  5 Er 3.49-3.55, 4 Th 3.66-3.69, 4 Pm 3.73-3.76
Er  0.5222  0.0432  0.7538  5 Er 3.49-3.55, 4 Th 3.66-3.69, 4 Pm 3.73-3.76
Er  0.7454  0.4902  0.2449  3 Th 3.35-3.45, 3 Pm 3.40-3.55, 5 Er 3.49-3.55
Th  0.1287  0.2555  0.0156  7 Er 3.35-3.69, 5 Th 3.36-3.68
Th  0.8713  0.7445  0.9844  7 Er 3.35-3.69, 5 Th 3.36-3.68

Computed properties:
**Volume**: 257 Å³ per cell
**E_form**: 37 meV/atom
**ΔE to the lowest computed polymorph**: 23.6 meV/atom
**Symmetry**: P-1, No. 2
**Crystal system**: triclinic

---

No. 4
A plane-wave DFT calculation with PBE-GGA was carried out for a relaxed structure of As2Au2Br.

a = 6.1814 Å, b = 6.1814 Å, c = 6.1814 Å
α = 134.36°, β = 134.36°, γ = 66.53°
With the nearest neighbours (Å) after each atom.
Positions (direct):
As  0.2500  0.7500  0.5000  4 Au 2.60
As  0.7500  0.2500  0.5000  4 Au 2.60
Au  0.1520  0.1520  0.0000  4 As 2.60
Au  0.8480  0.8480  0.0000  4 As 2.60
Br  0.5000  0.5000  0.0000  8 As 3.53, 10 Au 3.60-3.74

Computed properties:
**Volume**: 119 Å³ per cell
**ΔE to the lowest computed polymorph**: 0.0 meV/atom
**Symmetry**: I4/mmm, No. 139
**Crystal system**: tetragonal

---

Which of these has the highest volume?
Ca5Ge2Au2